1.
A plane-wave DFT calculation with PBE was carried out for a relaxed Mn2TeOsRh crystal.

Geometry as POSCAR:
```
Mn2TeOsRh
1.0
4.8044 0.0000 0.0000
0.0000 4.8044 0.0000
0.0000 0.0000 4.6986
Mn Te Os Rh
2 1 1 1
Cartesian
0.0000 2.4022 0.0000
2.4022 0.0000 0.0000
0.0000 0.0000 2.3493
2.4022 2.4022 2.3493
2.4022 2.4022 0.0000
```

Properties
Its space group is No. 123. As for the uncorrected formation energy: 1.103 eV per atom. The calculated density is 8.1 Mg/m³. The volume is 21.7 A^3/atom. The total moment comes out at 9.2 μB/cell.

2.
A plane-wave DFT calculation with PBE was carried out for a relaxed Pm2Sn3Ru2 crystal.

Geometry as POSCAR:
```
Pm2Sn3Ru2
1.0
5.3327 -2.1831 0.0000
5.3327 2.1831 0.0000
-2.9797 0.0000 6.8433
Pm Sn Ru
2 3 2
Cartesian
0.7318 0.0000 1.9696
6.9539 0.0000 4.8737
3.7783 0.0000 0.3424
3.8429 0.0000 3.4217
3.9074 0.0000 6.5010
-0.6588 0.0000 4.8290
8.3446 0.0000 2.0143
```

Properties
Its space group is No. 12. The calculated density is 8.8 Mg/m³. The volume is 22.8 A^3/atom. As for the formation energy: -0.4623 eV per atom. The total moment comes out at 0.0 μB/cell.

3.
A plane-wave DFT calculation with PBE was carried out for a relaxed Cs3Li2F4 crystal.

Geometry as POSCAR:
```
Cs3Li2F4
1.0
8.1418 -1.9728 0.0000
8.1418 1.9728 0.0000
-3.6459 0.0000 7.3165
Cs Li F
3 2 4
Cartesian
0.0000 0.0000 0.0000
3.9344 0.0000 2.9361
8.7033 0.0000 4.3804
1.3964 0.0000 7.0677
11.2413 0.0000 0.2488
-0.4911 0.0000 6.8898
2.5399 0.0000 5.6069
10.0978 0.0000 1.7097
13.1288 0.0000 0.4267
```

Properties
Its space group is No. 12. As for the uncorrected formation energy: -2.378 eV per atom. The calculated density is 3.5 Mg/m³. The volume is 26.1 A^3/atom. The total moment comes out at 0.3 μB/cell.

4.
A plane-wave DFT calculation with PBE was carried out for a relaxed VBAs2Br crystal.

Geometry as POSCAR:
```
VBAs2Br
1.0
4.6618 0.0000 0.0000
0.0000 4.6618 0.0000
0.0000 0.0000 5.3949
V B As Br
1 1 2 1
Cartesian
0.0000 0.0000 0.0000
2.3309 2.3309 2.6975
0.0000 2.3309 0.0000
2.3309 0.0000 0.0000
0.0000 0.0000 2.6975
```

Properties
Its space group is No. 123. The calculation puts the polymorph energy (0 for the lowest one) at 150.5 meV/atom. As for the uncorrected formation energy: 1.034 eV per atom. The calculated density is 4.1 Mg/m³. The volume is 23.4 A^3/atom. The total moment comes out at 0.6 μB/cell.

5.
A plane-wave DFT calculation with PBE was carried out for a relaxed PrNd4Si4 crystal.

Geometry as POSCAR:
```
PrNd4Si4
1.0
9.1626 0.0000 0.0000
0.0000 9.1626 0.0000
0.0000 0.0000 6.0104
Pr Nd Si
2 8 8
Cartesian
2.2906 2.2906 1.5026
6.8719 6.8719 4.5078
0.5203 6.1237 0.7129
1.5424 8.6422 3.7180
3.0389 5.1016 3.7180
4.0609 7.6201 0.7129
5.1016 1.5424 5.2975
6.1237 4.0609 2.2923
7.6201 0.5203 2.2923
8.6422 3.0389 5.2975
0.1626 5.6222 3.6535
1.0409 9.0000 0.6484
3.5404 4.7438 0.6484
4.4187 8.1217 3.6535
4.7438 1.0409 2.3568
5.6222 4.4187 5.3620
8.1217 0.1626 5.3620
9.0000 3.5404 2.3568
```

Properties
Its space group is No. 86. As for the uncorrected formation energy: -0.435 eV per atom. The calculated density is 5.5 Mg/m³. The volume is 28.0 A^3/atom. The total moment comes out at 0.0 μB/cell.

6.
A plane-wave DFT calculation with PBE was carried out for a relaxed PmMg2Bi crystal.

Geometry as POSCAR:
```
PmMg2Bi
1.0
4.6365 0.0000 0.0000
0.0000 4.6365 0.0000
0.0000 0.0000 5.0214
Pm Mg Bi
1 2 1
Cartesian
0.0000 0.0000 0.0000
0.0000 2.3182 2.5107
2.3182 0.0000 2.5107
2.3182 2.3182 0.0000
```

Properties
Its space group is No. 123. The calculation puts the polymorph energy (0 for the lowest one) at 0.0 meV/atom. The calculated density is 6.2 Mg/m³. The volume is 27.0 A^3/atom. As for the formation energy: -0.3856 eV per atom. The total moment comes out at 0.0 μB/cell.

7.
A plane-wave DFT calculation with PBE was carried out for a relaxed Y2ZrAs2 crystal.

Geometry as POSCAR:
```
Y2ZrAs2
1.0
7.5304 0.0000 0.0000
0.0000 7.5304 0.0000
0.0000 0.0000 3.9882
Y Zr As
4 2 4
Cartesian
1.2010 2.5642 0.0000
2.5642 6.3294 0.0000
4.9662 1.2010 0.0000
6.3294 4.9662 0.0000
0.0000 0.0000 1.9941
3.7652 3.7652 1.9941
1.1185 4.8837 1.9941
2.6467 1.1185 1.9941
4.8837 6.4119 1.9941
6.4119 2.6467 1.9941
```

Properties
Its space group is No. 127. The calculation puts the polymorph energy (0 for the lowest one) at 0.0 meV/atom. The calculated density is 6.2 Mg/m³. The volume is 22.6 A^3/atom. As for the formation energy: -1.1167 eV per atom. The total moment comes out at 0.8 μB/cell.

8.
A plane-wave DFT calculation with PBE was carried out for a relaxed Tm5Mg4Pa crystal.

Geometry as POSCAR:
```
Tm5Mg4Pa
1.0
3.4060 0.0000 0.0000
0.0000 3.4060 0.0000
0.0000 0.0000 23.1053
Tm Mg Pa
5 4 1
Cartesian
0.0000 0.0000 0.0000
0.0000 0.0000 4.6109
0.0000 0.0000 9.2400
0.0000 0.0000 13.8653
0.0000 0.0000 18.4945
1.7030 1.7030 2.3096
1.7030 1.7030 6.9002
1.7030 1.7030 16.2052
1.7030 1.7030 20.7958
1.7030 1.7030 11.5527
```

Properties
Its space group is No. 123. The calculated density is 7.3 Mg/m³. The volume is 26.8 A^3/atom. As for the formation energy: 0.0048 eV per atom. The total moment comes out at 0.0 μB/cell.

9.
A plane-wave DFT calculation with PBE was carried out for a relaxed ErTcO4 crystal.

Geometry as POSCAR:
```
ErTcO4
1.0
7.5585 0.0000 0.0000
0.0000 5.2739 0.0000
-1.1771 0.0000 7.3421
Er Tc O
4 4 16
Cartesian
0.6558 1.1276 2.8717
0.0672 1.5094 6.5428
6.3141 3.7646 0.7993
5.7255 4.1464 4.4703
2.3166 3.8528 1.4600
1.7280 4.0582 5.1310
4.6533 1.2158 2.2111
4.0647 1.4212 5.8821
0.6153 2.7019 1.2755
0.0268 5.2090 4.9465
1.2335 0.0497 0.8801
0.6450 2.5873 4.5512
1.3723 3.3640 6.9189
1.9609 4.5470 3.2479
2.3636 0.5370 5.8800
2.9522 2.0999 2.2090
3.4292 3.1740 5.1330
4.0177 4.7369 1.4620
4.4204 0.7270 4.0941
5.0090 1.9100 0.4231
5.7364 2.6866 2.7909
5.1478 5.2243 6.4619
6.3546 0.0649 2.3955
5.7660 2.5720 6.0666
```

Properties
Its space group is No. 14. The calculation puts the polymorph energy (0 for the lowest one) at 0.0 meV/atom. As for the uncorrected formation energy: -2.307 eV per atom. The calculated density is 7.5 Mg/m³. The volume is 12.2 A^3/atom. The total moment comes out at 4.1 μB/cell.

10.
A plane-wave DFT calculation with PBE was carried out for a relaxed Te2IClF crystal.

Geometry as POSCAR:
```
Te2IClF
1.0
4.6081 0.0000 0.0000
0.0000 4.6081 0.0000
0.0000 0.0000 7.8290
Te I Cl F
2 1 1 1
Cartesian
0.0000 2.3041 0.0000
2.3041 0.0000 0.0000
0.0000 0.0000 3.9145
2.3041 2.3041 3.9145
0.0000 0.0000 0.0000
```

Properties
Its space group is No. 123. The calculation puts the polymorph energy (0 for the lowest one) at 0.0 meV/atom. As for the uncorrected formation energy: 0.109 eV per atom. The calculated density is 4.4 Mg/m³. The volume is 33.2 A^3/atom. The total moment comes out at 0.0 μB/cell.

11.
A plane-wave DFT calculation with PBE was carried out for a relaxed ZrAsRh crystal.

Geometry as POSCAR:
```
ZrAsRh
1.0
-1.8063 1.8063 4.1168
1.8063 -1.8063 4.1168
1.8063 1.8063 -4.1168
Zr As Rh
1 1 1
Cartesian
0.0000 0.0000 0.0000
0.0000 0.0000 2.7425
0.0000 0.0000 5.3517
```

Properties
Its space group is No. 107. The calculated density is 8.3 Mg/m³. The volume is 17.9 A^3/atom. As for the formation energy: -0.6176 eV per atom. The total moment comes out at 0.0 μB/cell.

12.
A plane-wave DFT calculation with PBE was carried out for a relaxed CeSb2PdRh2 crystal.

Geometry as POSCAR:
```
CeSb2PdRh2
1.0
5.0247 0.0000 0.0000
0.0000 5.0247 0.0000
0.0000 0.0000 5.5065
Ce Sb Pd Rh
1 2 1 2
Cartesian
0.0000 0.0000 0.0000
0.0000 2.5124 2.7532
2.5124 0.0000 2.7532
0.0000 0.0000 2.7532
2.5124 2.5124 1.3206
2.5124 2.5124 4.1859
```

Properties
Its space group is No. 123. As for the uncorrected formation energy: -0.074 eV per atom. The calculated density is 8.3 Mg/m³. The volume is 23.2 A^3/atom. The total moment comes out at 0.9 μB/cell.